# PBE-GGA CdRu2W, optimized geometry
# calculated formation energy = 0.175 eV per atom
# space-group type = R-3m (166)
# total moment = 0.00 μB per atom
data_CdRu2W
_chemical_formula_sum 'Cd1 Ru2 W1'
_space_group_name_H-M_alt 'P 1'
_space_group_IT_number 1
_space_group_name_Hall 'P 1'
_cell_length_a 9.327
_cell_length_b 9.327
_cell_length_c 9.327
_cell_angle_alpha 17.49
_cell_angle_beta 17.49
_cell_angle_gamma 17.49
loop_
_atom_site_label
_atom_site_type_symbol
_atom_site_fract_x
_atom_site_fract_y
_atom_site_fract_z
Cd1 Cd 0.000 0.000 0.000
Ru1 Ru 0.244 0.244 0.244
Ru2 Ru 0.756 0.756 0.756
W1 W 0.500 0.500 0.500